# 1
A plane-wave DFT calculation with PBE-GGA was carried out for an optimized crystal structure of Nd2AgC2.

Output
**ΔH_f (0 K)**: -0.193 eV/atom
**Electronic total energy**: -6.360 eV/atom
**Space group**: C2/c (15)

Cell lengths 7.640, 7.640, 6.995 Å; angles 103.45, 103.45, 31.94 degrees
Fractional positions:
Nd  0.017  0.683  0.868
Nd  0.317  0.983  0.632
Nd  0.683  0.017  0.368
Nd  0.983  0.317  0.132
Ag  0.380  0.620  0.250
Ag  0.620  0.380  0.750
C  0.145  0.404  0.474
C  0.404  0.145  0.974
C  0.596  0.855  0.026
C  0.855  0.596  0.526

=====

# 2
A plane-wave DFT calculation with PBE-GGA was carried out for an optimized crystal structure of Pa4Tc7Ge6.

Output
**ΔH_f (0 K)**: -0.590 eV/atom
**Electronic total energy**: -8.722 eV/atom
**Space group**: Im-3m (229)

Cell lengths 7.299, 7.299, 7.299 Å; angles 109.47, 109.47, 109.47 degrees
Fractional positions:
Pa  0.000  0.000  0.500
Pa  0.000  0.500  0.000
Pa  0.500  0.000  0.000
Pa  0.500  0.500  0.500
Tc  0.000  0.000  0.000
Tc  0.250  0.500  0.750
Tc  0.250  0.750  0.500
Tc  0.500  0.250  0.750
Tc  0.500  0.750  0.250
Tc  0.750  0.250  0.500
Tc  0.750  0.500  0.250
Ge  0.000  0.311  0.311
Ge  0.000  0.689  0.689
Ge  0.311  0.000  0.311
Ge  0.311  0.311  0.000
Ge  0.689  0.000  0.689
Ge  0.689  0.689  0.000

=====

# 3
A plane-wave DFT calculation with PBE-GGA was carried out for an optimized crystal structure of TiV2Zn2.

Output
**ΔH_f (0 K)**: 0.164 eV/atom
**Electronic total energy**: -5.572 eV/atom
**Space group**: I4/mmm (139)

Cell lengths 3.505, 3.505, 12.312 Å; angles 90.00, 90.00, 90.00 degrees
Fractional positions:
Ti  0.000  0.000  0.000
Ti  0.500  0.500  0.500
V  0.000  0.500  0.250
V  0.000  0.500  0.750
V  0.500  0.000  0.250
V  0.500  0.000  0.750
Zn  0.000  0.000  0.405
Zn  0.000  0.000  0.595
Zn  0.500  0.500  0.095
Zn  0.500  0.500  0.905

=====

# 4
A plane-wave DFT calculation with PBE-GGA was carried out for an optimized crystal structure of Ge2BC.

Output
**ΔH_f (0 K)**: 1.785 eV/atom
**Electronic total energy**: -4.499 eV/atom
**Space group**: Fm-3m (225)

Cell lengths 5.785, 5.785, 5.785 Å; angles 90.00, 90.00, 90.00 degrees
Fractional positions:
Ge  0.250  0.250  0.250
Ge  0.250  0.250  0.750
Ge  0.250  0.750  0.250
Ge  0.250  0.750  0.750
Ge  0.750  0.250  0.250
Ge  0.750  0.250  0.750
Ge  0.750  0.750  0.250
Ge  0.750  0.750  0.750
B  0.000  0.000  0.000
B  0.000  0.500  0.500
B  0.500  0.000  0.500
B  0.500  0.500  0.000
C  0.000  0.000  0.500
C  0.000  0.500  0.000
C  0.500  0.000  0.000
C  0.500  0.500  0.500

=====

# 5
A plane-wave DFT calculation with PBE-GGA was carried out for an optimized crystal structure of Ce4HoTm.

Output
**ΔH_f (0 K)**: 0.211 eV/atom
**Electronic total energy**: -5.253 eV/atom
**Space group**: F-43m (216)

Cell lengths 6.290, 6.290, 6.290 Å; angles 60.00, 60.00, 60.00 degrees
Fractional positions:
Ce  0.376  0.376  0.376
Ce  0.376  0.376  0.871
Ce  0.376  0.871  0.376
Ce  0.871  0.376  0.376
Ho  0.000  0.000  0.000
Tm  0.750  0.750  0.750

=====

# 6
A plane-wave DFT calculation with PBE-GGA was carried out for an optimized crystal structure of Ag2HgIr.

Output
**ΔH_f (0 K)**: 0.321 eV/atom
**Electronic total energy**: -3.395 eV/atom
**Space group**: R3m (160)

Cell lengths 2.917, 2.917, 28.764 Å; angles 90.00, 90.00, 120.00 degrees
Fractional positions:
Ag  0.000  0.000  0.000
Ag  0.000  0.000  0.251
Ag  0.333  0.667  0.667
Ag  0.333  0.667  0.917
Ag  0.667  0.333  0.333
Ag  0.667  0.333  0.584
Hg  0.000  0.000  0.754
Hg  0.333  0.667  0.420
Hg  0.667  0.333  0.087
Ir  0.000  0.000  0.504
Ir  0.333  0.667  0.171
Ir  0.667  0.333  0.837

=====

# 7
A plane-wave DFT calculation with PBE-GGA was carried out for an optimized crystal structure of Sc2AuBr.

Output
**Electronic total energy**: -4.976 eV/atom
**Space group**: Immm (71)
**Uncorrected formation energy**: -0.573 eV per atom

Cell lengths 4.051, 5.423, 7.761 Å; angles 90.00, 90.00, 90.00 degrees
Fractional positions:
Sc  0.000  0.000  0.243
Sc  0.000  0.000  0.757
Sc  0.500  0.500  0.257
Sc  0.500  0.500  0.743
Au  0.000  0.500  0.000
Au  0.500  0.000  0.500
Br  0.000  0.500  0.500
Br  0.500  0.000  0.000

=====

# 8
A plane-wave DFT calculation with PBE-GGA was carried out for an optimized crystal structure of KTl5Sn.

Output
**ΔH_f (0 K)**: 0.004 eV/atom
**Electronic total energy**: -2.415 eV/atom
**Space group**: Cmmm (65)

Cell lengths 6.589, 9.529, 7.918 Å; angles 90.00, 90.00, 90.00 degrees
Fractional positions:
K  0.000  0.000  0.000
K  0.500  0.500  0.000
Tl  0.000  0.000  0.500
Tl  0.250  0.250  0.274
Tl  0.250  0.250  0.726
Tl  0.250  0.750  0.274
Tl  0.250  0.750  0.726
Tl  0.500  0.500  0.500
Tl  0.750  0.250  0.274
Tl  0.750  0.250  0.726
Tl  0.750  0.750  0.274
Tl  0.750  0.750  0.726
Sn  0.000  0.500  0.500
Sn  0.500  0.000  0.500